Compound: LiHgIN2
Source: Alexandria via LeMat-Bulk
Functional: GGA-PBE
Structure: relaxed

```
5
Lattice="4.2716 0.0000 0.0000 0.0000 4.2716 0.0000 0.0000 0.0000 7.8270" Properties=species:S:1:pos:R:3 pbc="T T T"
Li 0.0000 0.0000 0.0000
Hg 2.1358 2.1358 3.9135
I 2.1358 2.1358 0.0000
N 0.0000 2.1358 3.9135
N 2.1358 0.0000 3.9135
```

The calculation puts the calculated volume at 28.56 A^3/atom. As for the crystal system: tetragonal. The uncorrected formation energy is 1.27 eV per atom.

Compound: NaLi2HgI6
Source: Alexandria via LeMat-Bulk
Functional: GGA-PBE
Structure: relaxed

```
20
Lattice="7.5472 -7.8728 0.0000 7.5472 7.8728 0.0000 -3.8083 0.0000 7.3507" Properties=species:S:1:pos:R:3 pbc="T T T"
Na 4.6910 6.3448 5.5130
Na 6.5951 -6.3448 1.8377
Li 1.8540 1.4151 6.3122
Li 3.7581 -1.4151 2.6369
Li 7.5280 1.4151 4.7138
Li 9.4322 -1.4151 1.0385
Hg 6.5951 5.1288 1.8377
Hg 4.6910 -5.1288 5.5130
I -0.5847 0.9231 5.0108
I 2.3871 4.1415 6.6058
I 1.3195 -0.9231 1.3354
I 3.6506 0.8272 4.2601
I 6.9949 4.1415 4.4202
I 5.5547 -0.8272 0.5847
I 5.7314 0.8272 6.7660
I 4.2912 -4.1415 2.9305
I 7.6356 -0.8272 3.0906
I 9.9666 0.9231 6.0152
I 8.8991 -4.1415 0.7449
I 11.8708 -0.9231 2.3399
```

The calculation puts the calculated volume at 43.68 A^3/atom. As for the crystal system: monoclinic. The uncorrected formation energy is -0.74 eV per atom.

Compound: Na2LiHgI5
Source: Alexandria via LeMat-Bulk
Functional: GGA-PBE
Structure: relaxed

```
18
Lattice="2.2403 -11.6285 0.0000 2.2403 11.6285 0.0000 0.0000 0.0000 14.4204" Properties=species:S:1:pos:R:3 pbc="T T T"
Na 2.2403 8.2280 7.2102
Na 2.2403 7.6021 11.6650
Na 2.2403 -7.6021 4.4548
Na 2.2403 -8.2280 0.0000
Li 2.2403 7.1189 3.1408
Li 2.2403 -7.1189 10.3510
Hg 2.2403 1.3360 8.0291
Hg 2.2403 -1.3360 0.8189
I 2.2403 10.0395 2.7025
I 2.2403 4.4923 12.0644
I 2.2403 4.4400 2.1807
I 2.2403 3.8372 6.7014
I 2.2403 1.0049 13.7836
I 2.2403 -1.0049 6.5734
I 2.2403 -3.8372 13.9116
I 2.2403 -4.4400 9.3909
I 2.2403 -4.4923 4.8542
I 2.2403 -10.0395 9.9127
```

The calculation puts the calculated volume at 41.74 A^3/atom. As for the crystal system: orthorhombic. The uncorrected formation energy is -0.89 eV per atom.

Compound: LiHg2IO6
Source: Alexandria via LeMat-Bulk
Functional: GGA-PBE
Structure: relaxed

```
10
Lattice="2.8071 1.6207 4.6767 -2.8071 1.6207 4.6767 0.0000 -3.2414 4.6767" Properties=species:S:1:pos:R:3 pbc="T T T"
Li 0.0000 0.0000 0.0000
Hg 0.0000 0.0000 3.5097
Hg 0.0000 0.0000 10.5204
I 0.0000 0.0000 7.0151
O -0.5541 -1.4668 5.9048
O -1.5473 -0.2535 8.1253
O -0.9932 1.2133 5.9048
O 0.9932 -1.2133 8.1253
O 1.5473 0.2535 5.9048
O 0.5541 1.4668 8.1253
```

The calculation puts the calculated volume at 12.77 A^3/atom. As for the crystal system: trigonal. The uncorrected formation energy is -0.56 eV per atom.

Compound: LiHgI2O
Source: Alexandria via LeMat-Bulk
Functional: GGA-PBE
Structure: relaxed

```
5
Lattice="6.0237 0.0000 0.0000 0.0000 6.0237 0.0000 0.0000 0.0000 4.1478" Properties=species:S:1:pos:R:3 pbc="T T T"
Li 0.0000 0.0000 0.0000
Hg 3.0119 3.0119 2.0739
I 0.0000 3.0119 2.0739
I 3.0119 0.0000 2.0739
O 3.0119 3.0119 0.0000
```

The calculation puts the calculated volume at 30.10 A^3/atom. As for the crystal system: tetragonal. The uncorrected formation energy is -0.17 eV per atom.

Compound: LiHgI2O
Source: Alexandria via LeMat-Bulk
Functional: GGA-PBE
Structure: relaxed

```
5
Lattice="5.7222 0.0000 0.0000 0.0000 5.7222 0.0000 0.0000 0.0000 3.8190" Properties=species:S:1:pos:R:3 pbc="T T T"
Li 0.0000 0.0000 0.0000
Hg 2.8611 2.8611 1.9095
I 0.0000 2.8611 0.0000
I 2.8611 0.0000 0.0000
O 0.0000 0.0000 1.9095
```

The calculation puts the calculated volume at 25.01 A^3/atom. As for the crystal system: tetragonal. The uncorrected formation energy is -0.12 eV per atom.

Compound: LiHgP2I
Source: Alexandria via LeMat-Bulk
Functional: GGA-PBE
Structure: relaxed

```
5
Lattice="4.3120 0.0000 0.0000 0.0000 4.3120 0.0000 0.0000 0.0000 7.7750" Properties=species:S:1:pos:R:3 pbc="T T T"
Li 0.0000 0.0000 0.0000
Hg 2.1560 2.1560 3.8875
P 0.0000 2.1560 0.0000
P 2.1560 0.0000 0.0000
I 0.0000 0.0000 3.8875
```

The calculation puts the calculated volume at 28.91 A^3/atom. As for the crystal system: tetragonal. The uncorrected formation energy is 0.65 eV per atom.

Compound: LiPaHgI6
Source: Alexandria via LeMat-Bulk
Functional: GGA-PBE
Structure: relaxed

```
18
Lattice="7.5434 0.0000 0.0000 -3.7717 6.5328 0.0000 0.0000 0.0000 19.1149" Properties=species:S:1:pos:R:3 pbc="T T T"
Li 0.0000 4.3552 4.7787
Li 3.7717 2.1776 14.3362
Pa 0.0000 4.3552 14.3362
Pa 3.7717 2.1776 4.7787
Hg 0.0000 0.0000 0.0000
Hg 0.0000 0.0000 9.5574
I -1.2826 2.3154 12.6182
I -2.4078 4.2644 16.0541
I 1.2826 2.3154 16.0541
I -1.1253 6.4859 12.6182
I 2.6465 0.0470 3.0608
I 1.3639 2.2684 6.4966
I 2.4078 4.2644 12.6182
I 1.1253 6.4859 16.0541
I 4.8970 0.0470 6.4966
I 2.4892 4.2174 3.0608
I 6.1796 2.2684 3.0608
I 5.0543 4.2174 6.4966
```

The calculation puts the calculated volume at 52.33 A^3/atom. As for the crystal system: trigonal. The uncorrected formation energy is -0.88 eV per atom.

Compound: Li2HgPbI6
Source: Alexandria via LeMat-Bulk
Functional: GGA-PBE
Structure: relaxed

```
10
Lattice="7.8236 0.0000 0.0000 3.9038 6.7853 0.0000 0.0297 4.4875 7.6323" Properties=species:S:1:pos:R:3 pbc="T T T"
Li 0.0000 0.0000 0.0000
Li 3.9014 2.2554 1.8388
Hg 3.9404 6.7375 5.4971
Pb 7.8442 9.0026 7.5324
I 2.6816 4.6532 1.5349
I 5.1847 9.2147 5.4165
I 6.3530 6.7749 1.5421
I 5.4567 4.4165 5.4216
I 6.5894 2.1180 1.5391
I 8.9941 6.5803 5.4327
```

The calculation puts the calculated volume at 40.52 A^3/atom. As for the crystal system: triclinic. The uncorrected formation energy is -0.72 eV per atom.

Compound: LiHgPd2I
Source: Alexandria via LeMat-Bulk
Functional: GGA-PBE
Structure: relaxed

```
5
Lattice="4.6752 0.0000 0.0000 0.0000 4.6752 0.0000 0.0000 0.0000 4.6919" Properties=species:S:1:pos:R:3 pbc="T T T"
Li 0.0000 0.0000 0.0000
Hg 0.0000 0.0000 2.3459
Pd 0.0000 2.3376 0.0000
Pd 2.3376 0.0000 0.0000
I 2.3376 2.3376 2.3459
```

The calculation puts the calculated volume at 20.51 A^3/atom. As for the crystal system: tetragonal. The uncorrected formation energy is 0.29 eV per atom.

Compound: RbLiHgI4
Source: Alexandria via LeMat-Bulk
Functional: GGA-PBE
Structure: relaxed

```
14
Lattice="7.1640 0.0000 0.0000 0.0000 8.7526 0.0000 -2.3111 0.0000 9.8569" Properties=species:S:1:pos:R:3 pbc="T T T"
Rb 1.2676 2.1882 0.6673
Rb 3.5853 6.5645 9.1897
Li 0.6417 2.1882 6.8086
Li 4.2112 6.5645 3.0484
Hg 0.6515 6.5645 3.3207
Hg 4.2014 2.1882 6.5362
I -1.1812 0.0515 7.1803
I -1.1812 4.3248 7.1803
I 2.4439 6.5645 0.8873
I 2.2708 2.1882 4.5506
I 2.5821 6.5645 5.3063
I 2.4090 2.1882 8.9696
I 6.0341 4.4279 2.6766
I 6.0341 8.7011 2.6766
```

The calculation puts the calculated volume at 44.15 A^3/atom. As for the crystal system: monoclinic. The uncorrected formation energy is -0.88 eV per atom.

Compound: Rb2LiHgI4
Source: Alexandria via LeMat-Bulk
Functional: GGA-PBE
Structure: relaxed

```
16
Lattice="0.0000 7.9825 13.3942 3.3877 0.0000 13.3942 3.3877 7.9825 0.0000" Properties=species:S:1:pos:R:3 pbc="T T T"
Rb 2.5408 5.9868 1.4897
Rb 4.2347 9.9781 8.1868
Rb 2.5408 5.9868 18.6017
Rb 4.2347 9.9781 25.2988
Li 0.8469 1.9956 3.3486
Li 5.9285 13.9693 23.4399
Hg 2.5408 5.9868 10.0457
Hg 4.2347 9.9781 16.7428
I 2.2132 3.7995 4.9790
I 4.5623 7.7908 11.6761
I 2.8684 8.1742 4.9790
I 2.8684 3.7995 15.1123
I 3.9070 12.1654 11.6761
I 3.9070 7.7908 21.8094
I 2.2132 8.1742 15.1123
I 4.5623 12.1654 21.8094
```

The calculation puts the calculated volume at 45.28 A^3/atom. As for the crystal system: orthorhombic. The uncorrected formation energy is -0.99 eV per atom.

Among the records above, which one has the highest calculated volume? LiPaHgI6

calculated volume of number 5 (LiHgI2O)? 30.10 A^3/atom

What is the formula in the fifth record? LiHgI2O

What is the calculated volume in the seventh record? 28.91 A^3/atom